# NdSm2PaRu2

A relaxed structure of NdSm2PaRu2 (GGA-PBE, the Alexandria database).

Cell: 8.3923 8.3923 8.3923 Å, 129.65 72.14 131.97°
Closest atoms and distances in Å follow each position.
Atoms (fractional coordinates):
1 Nd 0.2500 0.2500 0.0000  4 Ru 3.04
2 Nd 0.7500 0.7500 0.0000  4 Ru 3.04
3 Sm 0.1978 0.6909 0.8887  2 Ru 2.87-3.11
4 Sm 0.3022 0.1909 0.4932  2 Ru 2.87-3.11
5 Sm 0.6978 0.8091 0.5068  2 Ru 2.87-3.11
6 Sm 0.8022 0.3091 0.1113  2 Ru 2.87-3.11
7 Pa 0.2500 0.7500 0.5000  4 Ru 2.60
8 Pa 0.7500 0.2500 0.5000  4 Ru 2.60
9 Ru 0.0983 0.2986 0.3969  2 Pa 2.60, 1 Sm 2.87
10 Ru 0.4017 0.7986 0.2004  2 Pa 2.60, 1 Sm 2.87
11 Ru 0.5983 0.2014 0.7996  2 Pa 2.60, 1 Sm 2.87
12 Ru 0.9017 0.7014 0.6031  2 Pa 2.60, 1 Sm 2.87

## Properties
Symmetry: No. 72
Formation enthalpy at 0 K (meV/atom): -251
Magnetization (μB per atom): 0.000

=====

# TbNd2Pa2Ru5

A relaxed structure of TbNd2Pa2Ru5 (GGA-PBE, the Alexandria database).

Cell: 10.7348 10.7348 3.7255 Å, 90.00 90.00 90.00°
Closest atoms and distances in Å follow each position.
Atoms (fractional coordinates):
1 Tb 0.0000 0.0000 0.0000  8 Ru 2.99
2 Tb 0.5000 0.5000 0.0000  8 Ru 2.99
3 Nd 0.1753 0.3247 0.0000  1 Pa 2.92, 2 Ru 3.25
4 Nd 0.3247 0.8247 0.0000  1 Pa 2.92, 2 Ru 3.25
5 Nd 0.6753 0.1753 0.0000  1 Pa 2.92, 2 Ru 3.25
6 Nd 0.8247 0.6753 0.0000  1 Pa 2.92, 2 Ru 3.25
7 Pa 0.1325 0.6325 0.0000  6 Ru 2.64-2.74, 1 Nd 2.92
8 Pa 0.3675 0.1325 0.0000  6 Ru 2.64-2.74, 1 Nd 2.92
9 Pa 0.6325 0.8675 0.0000  6 Ru 2.64-2.74, 1 Nd 2.92
10 Pa 0.8675 0.3675 0.0000  6 Ru 2.64-2.74, 1 Nd 2.92
11 Ru 0.0000 0.5000 0.5000  4 Pa 2.74
12 Ru 0.0543 0.7886 0.5000  2 Pa 2.64
13 Ru 0.2114 0.0543 0.5000  2 Pa 2.64
14 Ru 0.2886 0.5543 0.5000  2 Pa 2.64
15 Ru 0.4457 0.2886 0.5000  2 Pa 2.64
16 Ru 0.5000 0.0000 0.5000  4 Pa 2.74
17 Ru 0.5543 0.7114 0.5000  2 Pa 2.64
18 Ru 0.7114 0.4457 0.5000  2 Pa 2.64
19 Ru 0.7886 0.9457 0.5000  2 Pa 2.64
20 Ru 0.9457 0.2114 0.5000  2 Pa 2.64

## Properties
Symmetry: No. 127
Formation enthalpy at 0 K (meV/atom): -262
Magnetization (μB per atom): 0.000

=====

# Nd2TmPa2Ru5

A relaxed structure of Nd2TmPa2Ru5 (GGA-PBE, the Alexandria database).

Cell: 11.1473 11.1473 3.4263 Å, 90.00 90.00 90.00°
Closest atoms and distances in Å follow each position.
Atoms (fractional coordinates):
1 Nd 0.1657 0.3343 0.0000  1 Pa 2.97, 6 Ru 3.12-3.20
2 Nd 0.3343 0.8343 0.0000  1 Pa 2.97, 6 Ru 3.12-3.20
3 Nd 0.6657 0.1657 0.0000  1 Pa 2.97, 6 Ru 3.12-3.20
4 Nd 0.8343 0.6657 0.0000  1 Pa 2.97, 6 Ru 3.12-3.20
5 Tm 0.0000 0.0000 0.0000  8 Ru 2.97
6 Tm 0.5000 0.5000 0.0000  8 Ru 2.97
7 Pa 0.1459 0.6459 0.0000  6 Ru 2.58-2.87
8 Pa 0.3541 0.1459 0.0000  6 Ru 2.58-2.87
9 Pa 0.6459 0.8541 0.0000  6 Ru 2.58-2.87
10 Pa 0.8541 0.3541 0.0000  6 Ru 2.58-2.87
11 Ru 0.0000 0.5000 0.5000  4 Pa 2.87, 4 Nd 3.12
12 Ru 0.0448 0.7869 0.5000  2 Pa 2.58
13 Ru 0.2131 0.0448 0.5000  2 Pa 2.58
14 Ru 0.2869 0.5448 0.5000  2 Pa 2.58
15 Ru 0.4552 0.2869 0.5000  2 Pa 2.58
16 Ru 0.5000 0.0000 0.5000  4 Pa 2.87, 4 Nd 3.12
17 Ru 0.5448 0.7131 0.5000  2 Pa 2.58
18 Ru 0.7131 0.4552 0.5000  2 Pa 2.58
19 Ru 0.7869 0.9552 0.5000  2 Pa 2.58
20 Ru 0.9552 0.2131 0.5000  2 Pa 2.58

## Properties
Symmetry: No. 127
Formation enthalpy at 0 K (meV/atom): -274
Magnetization (μB per atom): 0.000

=====

# Nd2U2PaRu5

A relaxed structure of Nd2U2PaRu5 (GGA-PBE, the Alexandria database).

Cell: 10.6122 10.6122 3.6378 Å, 90.00 90.00 90.00°
Closest atoms and distances in Å follow each position.
Atoms (fractional coordinates):
1 Nd 0.1769 0.3231 0.0000  1 U 2.84
2 Nd 0.3231 0.8231 0.0000  1 U 2.84
3 Nd 0.6769 0.1769 0.0000  1 U 2.84
4 Nd 0.8231 0.6769 0.0000  1 U 2.84
5 U 0.1337 0.6337 0.0000  6 Ru 2.69-2.71, 1 Nd 2.84
6 U 0.3663 0.1337 0.0000  6 Ru 2.69-2.71, 1 Nd 2.84
7 U 0.6337 0.8663 0.0000  6 Ru 2.69-2.71, 1 Nd 2.84
8 U 0.8663 0.3663 0.0000  6 Ru 2.69-2.71, 1 Nd 2.84
9 Pa 0.0000 0.0000 0.0000  8 Ru 2.84
10 Pa 0.5000 0.5000 0.0000  8 Ru 2.84
11 Ru 0.0000 0.5000 0.5000  4 U 2.71
12 Ru 0.0518 0.8011 0.5000  2 U 2.69, 2 Pa 2.84
13 Ru 0.1989 0.0518 0.5000  2 U 2.69, 2 Pa 2.84
14 Ru 0.3011 0.5518 0.5000  2 U 2.69, 2 Pa 2.84
15 Ru 0.4482 0.3011 0.5000  2 U 2.69, 2 Pa 2.84
16 Ru 0.5000 0.0000 0.5000  4 U 2.71
17 Ru 0.5518 0.6989 0.5000  2 U 2.69, 2 Pa 2.84
18 Ru 0.6989 0.4482 0.5000  2 U 2.69, 2 Pa 2.84
19 Ru 0.8011 0.9482 0.5000  2 U 2.69, 2 Pa 2.84
20 Ru 0.9482 0.1989 0.5000  2 U 2.69, 2 Pa 2.84

## Properties
Symmetry: No. 127
Formation enthalpy at 0 K (meV/atom): -272
Magnetization (μB per atom): 0.000

=====

# Nd2YPa2Ru5

A relaxed structure of Nd2YPa2Ru5 (GGA-PBE, the Alexandria database).

Cell: 11.1891 11.1891 3.4519 Å, 90.00 90.00 90.00°
Closest atoms and distances in Å follow each position.
Atoms (fractional coordinates):
1 Nd 0.1665 0.3335 0.0000  1 Pa 3.01, 6 Ru 3.15-3.17
2 Nd 0.3335 0.8335 0.0000  1 Pa 3.01, 6 Ru 3.15-3.17
3 Nd 0.6665 0.1665 0.0000  1 Pa 3.01, 6 Ru 3.15-3.17
4 Nd 0.8335 0.6665 0.0000  1 Pa 3.01, 6 Ru 3.15-3.17
5 Y 0.0000 0.0000 0.0000  8 Ru 3.03
6 Y 0.5000 0.5000 0.0000  8 Ru 3.03
7 Pa 0.1436 0.6436 0.0000  6 Ru 2.58-2.85
8 Pa 0.3564 0.1436 0.0000  6 Ru 2.58-2.85
9 Pa 0.6436 0.8564 0.0000  6 Ru 2.58-2.85
10 Pa 0.8564 0.3564 0.0000  6 Ru 2.58-2.85
11 Ru 0.0000 0.5000 0.5000  4 Pa 2.85, 4 Nd 3.15, 4 Ru 3.19
12 Ru 0.0416 0.7818 0.5000  2 Pa 2.58
13 Ru 0.2182 0.0416 0.5000  2 Pa 2.58
14 Ru 0.2818 0.5416 0.5000  2 Pa 2.58
15 Ru 0.4584 0.2818 0.5000  2 Pa 2.58
16 Ru 0.5000 0.0000 0.5000  4 Pa 2.85, 4 Nd 3.15, 4 Ru 3.19
17 Ru 0.5416 0.7182 0.5000  2 Pa 2.58
18 Ru 0.7182 0.4584 0.5000  2 Pa 2.58
19 Ru 0.7818 0.9584 0.5000  2 Pa 2.58
20 Ru 0.9584 0.2182 0.5000  2 Pa 2.58

## Properties
Symmetry: No. 127
Formation enthalpy at 0 K (meV/atom): -260
Magnetization (μB per atom): 0.000

=====

# Nd2YPaRu2

A relaxed structure of Nd2YPaRu2 (GGA-PBE, the Alexandria database).

Cell: 8.3800 8.3800 8.3800 Å, 131.12 71.04 131.86°
Closest atoms and distances in Å follow each position.
Atoms (fractional coordinates):
1 Nd 0.1944 0.2200 0.4143  1 Ru 2.89
2 Nd 0.3056 0.7200 0.0256  1 Ru 2.89
3 Nd 0.6944 0.2800 0.9744  1 Ru 2.89
4 Nd 0.8056 0.7800 0.5857  1 Ru 2.89
5 Y 0.2500 0.7500 0.5000  4 Ru 2.96
6 Y 0.7500 0.2500 0.5000  4 Ru 2.96
7 Pa 0.2500 0.2500 0.0000  4 Ru 2.60
8 Pa 0.7500 0.7500 0.0000  4 Ru 2.60
9 Ru 0.0969 0.7923 0.8893  2 Pa 2.60, 1 Nd 2.89
10 Ru 0.4031 0.2923 0.6954  2 Pa 2.60, 1 Nd 2.89
11 Ru 0.5969 0.7077 0.3046  2 Pa 2.60, 1 Nd 2.89
12 Ru 0.9031 0.2077 0.1107  2 Pa 2.60, 1 Nd 2.89

## Properties
Symmetry: No. 72
Formation enthalpy at 0 K (meV/atom): -290
Magnetization (μB per atom): 0.000

=====

# NdPaZnRu

A relaxed structure of NdPaZnRu (GGA-PBE, the Alexandria database).

Cell: 4.9841 4.9841 4.9841 Å, 60.00 60.00 60.00°
Closest atoms and distances in Å follow each position.
Atoms (fractional coordinates):
1 Nd 0.0000 0.0000 0.0000  4 Ru 3.05, 4 Zn 3.05
2 Pa 0.5000 0.5000 0.5000  4 Ru 3.05, 4 Zn 3.05
3 Zn 0.2500 0.2500 0.2500  4 Pa 3.05, 4 Nd 3.05
4 Ru 0.7500 0.7500 0.7500  4 Pa 3.05, 4 Nd 3.05

## Properties
Symmetry: No. 216
Formation enthalpy at 0 K (meV/atom): -92
Magnetization (μB per atom): 0.000

=====

# Nd2ZrPa2Ru5

A relaxed structure of Nd2ZrPa2Ru5 (GGA-PBE, the Alexandria database).

Cell: 10.9887 10.9887 3.4220 Å, 90.00 90.00 90.00°
Closest atoms and distances in Å follow each position.
Atoms (fractional coordinates):
1 Nd 0.1657 0.3343 0.0000  1 Pa 2.91, 2 Ru 3.09
2 Nd 0.3343 0.8343 0.0000  1 Pa 2.91, 2 Ru 3.09
3 Nd 0.6657 0.1657 0.0000  1 Pa 2.91, 2 Ru 3.09
4 Nd 0.8343 0.6657 0.0000  1 Pa 2.91, 2 Ru 3.09
5 Zr 0.0000 0.0000 0.0000  8 Ru 2.84
6 Zr 0.5000 0.5000 0.0000  8 Ru 2.84
7 Pa 0.1473 0.6473 0.0000  6 Ru 2.62-2.86, 1 Nd 2.91
8 Pa 0.3527 0.1473 0.0000  6 Ru 2.62-2.86, 1 Nd 2.91
9 Pa 0.6473 0.8527 0.0000  6 Ru 2.62-2.86, 1 Nd 2.91
10 Pa 0.8527 0.3527 0.0000  6 Ru 2.62-2.86, 1 Nd 2.91
11 Ru 0.0000 0.5000 0.5000  4 Pa 2.86, 4 Nd 3.09
12 Ru 0.0510 0.8002 0.5000  2 Pa 2.62, 2 Zr 2.84
13 Ru 0.1998 0.0510 0.5000  2 Pa 2.62, 2 Zr 2.84
14 Ru 0.3002 0.5510 0.5000  2 Pa 2.62, 2 Zr 2.84
15 Ru 0.4490 0.3002 0.5000  2 Pa 2.62, 2 Zr 2.84
16 Ru 0.5000 0.0000 0.5000  4 Pa 2.86, 4 Nd 3.09
17 Ru 0.5510 0.6998 0.5000  2 Pa 2.62, 2 Zr 2.84
18 Ru 0.6998 0.4490 0.5000  2 Pa 2.62, 2 Zr 2.84
19 Ru 0.8002 0.9490 0.5000  2 Pa 2.62, 2 Zr 2.84
20 Ru 0.9490 0.1998 0.5000  2 Pa 2.62, 2 Zr 2.84

## Properties
Symmetry: No. 127
Formation enthalpy at 0 K (meV/atom): -274
Magnetization (μB per atom): 0.000

=====

# NdPaS4

A relaxed structure of NdPaS4 (GGA-PBE, the Alexandria database).

Cell: 6.3291 5.5929 7.8778 Å, 90.00 108.05 90.00°
Closest atoms and distances in Å follow each position.
Atoms (fractional coordinates):
1 Nd 0.2424 0.2500 0.4347  8 S 2.80-2.98
2 Nd 0.7576 0.7500 0.5653  8 S 2.80-2.98
3 Pa 0.2450 0.2500 0.9356  8 S 2.68-2.98
4 Pa 0.7550 0.7500 0.0644  8 S 2.68-2.98
5 S 0.0728 0.7500 0.3818  1 Pa 2.68, 3 Nd 2.80-2.98
6 S 0.0762 0.7500 0.9051  3 Pa 2.70-2.98, 1 Nd 2.81
7 S 0.4952 0.5024 0.7679  2 Pa 2.75-2.77, 2 S 2.77-2.82, 2 Nd 2.97-2.98
8 S 0.4952 0.9976 0.7679  2 Pa 2.75-2.77, 2 S 2.77-2.82, 2 Nd 2.97-2.98
9 S 0.5048 0.0024 0.2321  2 Pa 2.75-2.77, 2 S 2.77-2.82, 2 Nd 2.97-2.98
10 S 0.5048 0.4976 0.2321  2 Pa 2.75-2.77, 2 S 2.77-2.82, 2 Nd 2.97-2.98
11 S 0.9238 0.2500 0.0949  3 Pa 2.70-2.98, 1 Nd 2.81
12 S 0.9272 0.2500 0.6182  1 Pa 2.68, 3 Nd 2.80-2.98

## Properties
E_form (uncorrected) (eV/atom): -1.687
Symmetry: No. 11
Energy relative to the lowest polymorph listed for this composition (meV per atom): 0.0
Magnetization (μB per atom): 0.000

=====

# NdPaS3

A relaxed structure of NdPaS3 (GGA-PBE, the Alexandria database).

Cell: 7.5027 3.9399 15.4433 Å, 90.00 90.00 90.00°
Closest atoms and distances in Å follow each position.
Atoms (fractional coordinates):
1 Nd 0.0971 0.2500 0.2059  7 S 2.84-3.10
2 Nd 0.4029 0.7500 0.7059  7 S 2.84-3.10
3 Nd 0.5971 0.2500 0.2941  7 S 2.84-3.10
4 Nd 0.9029 0.7500 0.7941  7 S 2.84-3.10
5 Pa 0.2429 0.7500 0.4597  7 S 2.78-2.89
6 Pa 0.2571 0.2500 0.9597  7 S 2.78-2.89
7 Pa 0.7429 0.7500 0.0403  7 S 2.78-2.89
8 Pa 0.7571 0.2500 0.5403  7 S 2.78-2.89
9 S 0.0093 0.2500 0.4021  3 Pa 2.78-2.85, 1 Nd 3.10
10 S 0.1232 0.7500 0.0685  3 Pa 2.78-2.89, 2 Nd 2.90
11 S 0.1793 0.2500 0.7821  1 Pa 2.80, 4 Nd 2.84-2.87
12 S 0.3207 0.7500 0.2821  1 Pa 2.80, 4 Nd 2.84-2.87
13 S 0.3768 0.2500 0.5685  3 Pa 2.78-2.89, 2 Nd 2.90
14 S 0.4907 0.7500 0.9021  3 Pa 2.78-2.85, 1 Nd 3.10
15 S 0.5093 0.2500 0.0979  3 Pa 2.78-2.85, 1 Nd 3.10
16 S 0.6232 0.7500 0.4315  3 Pa 2.78-2.89, 2 Nd 2.90
17 S 0.6793 0.2500 0.7179  1 Pa 2.80, 4 Nd 2.84-2.87
18 S 0.8207 0.7500 0.2179  1 Pa 2.80, 4 Nd 2.84-2.87
19 S 0.8768 0.2500 0.9315  3 Pa 2.78-2.89, 2 Nd 2.90
20 S 0.9907 0.7500 0.5979  3 Pa 2.78-2.85, 1 Nd 3.10

## Properties
E_form (uncorrected) (eV/atom): -1.840
Symmetry: No. 62
Magnetization (μB per atom): 0.273

=====

# NdPa2S3

A relaxed structure of NdPa2S3 (GGA-PBE, the Alexandria database).

Cell: 5.5745 11.8811 7.8669 Å, 90.00 90.05 90.00°
Closest atoms and distances in Å follow each position.
Atoms (fractional coordinates):
1 Nd 0.2497 0.0797 0.1279  6 S 2.79-2.84
2 Nd 0.2497 0.4203 0.6279  6 S 2.79-2.84
3 Nd 0.7503 0.5797 0.3721  6 S 2.79-2.84
4 Nd 0.7503 0.9203 0.8721  6 S 2.79-2.84
5 Pa 0.2496 0.0835 0.6215  6 S 2.77-2.79
6 Pa 0.2496 0.4165 0.1215  6 S 2.77-2.79
7 Pa 0.2508 0.7462 0.6245  6 S 2.76-2.79
8 Pa 0.2508 0.7538 0.1245  6 S 2.76-2.79
9 Pa 0.7492 0.2462 0.8755  6 S 2.76-2.79
10 Pa 0.7492 0.2538 0.3755  6 S 2.76-2.79
11 Pa 0.7504 0.5835 0.8785  6 S 2.77-2.79
12 Pa 0.7504 0.9165 0.3785  6 S 2.77-2.79
13 S 0.2491 0.2478 0.8745  4 Pa 2.79, 2 Nd 2.82
14 S 0.2491 0.2522 0.3745  4 Pa 2.79, 2 Nd 2.82
15 S 0.2503 0.5854 0.3673  3 Pa 2.77-2.79, 3 Nd 2.79-2.84
16 S 0.2505 0.5866 0.8809  5 Pa 2.76-2.79, 1 Nd 2.80
17 S 0.2505 0.9134 0.3809  5 Pa 2.76-2.79, 1 Nd 2.80
18 S 0.2503 0.9146 0.8673  3 Pa 2.77-2.79, 3 Nd 2.79-2.84
19 S 0.7497 0.0854 0.1327  3 Pa 2.77-2.79, 3 Nd 2.79-2.84
20 S 0.7495 0.0866 0.6191  5 Pa 2.76-2.79, 1 Nd 2.80
21 S 0.7495 0.4134 0.1191  5 Pa 2.76-2.79, 1 Nd 2.80
22 S 0.7497 0.4146 0.6327  3 Pa 2.77-2.79, 3 Nd 2.79-2.84
23 S 0.7509 0.7478 0.6255  4 Pa 2.79, 2 Nd 2.82
24 S 0.7509 0.7522 0.1255  4 Pa 2.79, 2 Nd 2.82

## Properties
E_form (uncorrected) (eV/atom): -1.715
Symmetry: No. 14
Magnetization (μB per atom): 0.000

=====

# NdPa4S5

A relaxed structure of NdPa4S5 (GGA-PBE, the Alexandria database).

Cell: 6.7996 6.7996 6.7996 Å, 99.57 99.57 131.86°
Closest atoms and distances in Å follow each position.
Atoms (fractional coordinates):
1 Nd 0.0000 0.0000 0.0000  6 S 2.77-2.82
2 Pa 0.2003 0.6030 0.8033  6 S 2.76-2.78
3 Pa 0.3970 0.2003 0.5973  6 S 2.76-2.78
4 Pa 0.6030 0.7997 0.4027  6 S 2.76-2.78
5 Pa 0.7997 0.3970 0.1967  6 S 2.76-2.78
6 S 0.1009 0.3048 0.4057  5 Pa 2.76-2.77, 1 Nd 2.82
7 S 0.3048 0.8991 0.2039  5 Pa 2.76-2.77, 1 Nd 2.82
8 S 0.5000 0.5000 0.0000  2 Nd 2.77, 4 Pa 2.78
9 S 0.6952 0.1009 0.7961  5 Pa 2.76-2.77, 1 Nd 2.82
10 S 0.8991 0.6952 0.5943  5 Pa 2.76-2.77, 1 Nd 2.82

## Properties
E_form (uncorrected) (eV/atom): -1.666
Symmetry: No. 87
Magnetization (μB per atom): 0.000